{
  "formula": "BaTc2Pb",
  "functional": "PBE",
  "state": "optimized geometry",
  "dft_energy_ev_per_cell": -23.26,
  "magmom_total_mub_per_cell": 0.0,
  "lattice": [[3.2230, 0.0000, 0.0000], [0.0000, 4.4864, 0.0000], [0.0000, 0.0000, 6.9879]],
  "species": ["Ba", "Tc", "Tc", "Pb"],
  "fractional_positions": [[0.0000, 0.0000, 0.0000], [0.5000, 0.5000, 0.3406], [0.5000, 0.5000, 0.6594], [0.0000, 0.0000, 0.5000]]
}

{
  "formula": "Mg3TiB2O8",
  "functional": "PBE",
  "state": "optimized geometry",
  "magmom_total_mub_per_cell": 0.0,
  "e_form_raw_ev_per_atom": -2.736,
  "lattice": [[3.1328, 0.0000, 0.0000], [0.0000, 9.4672, 0.0000], [0.0000, 0.0000, 9.3905]],
  "species": ["Mg", "Mg", "Mg", "Mg", "Mg", "Mg", "Ti", "Ti", "B", "B", "B", "B", "O", "O", "O", "O", "O", "O", "O", "O", "O", "O", "O", "O", "O", "O", "O", "O"],
  "fractional_positions": [[0.0000, 0.0648, 0.0000], [0.0000, 0.9352, 0.5000], [0.5000, 0.1796, 0.2702], [0.5000, 0.4289, 0.7969], [0.5000, 0.5711, 0.2969], [0.5000, 0.8204, 0.7702], [0.0000, 0.3172, 0.5047], [0.0000, 0.6828, 0.0047], [0.0000, 0.3798, 0.0702], [0.0000, 0.6202, 0.5702], [0.5000, 0.1190, 0.7255], [0.5000, 0.8810, 0.2255], [0.0000, 0.1450, 0.4205], [0.0000, 0.2502, 0.1389], [0.0000, 0.3901, 0.9257], [0.0000, 0.4927, 0.6497], [0.0000, 0.5073, 0.1497], [0.0000, 0.6099, 0.4257], [0.0000, 0.7498, 0.6389], [0.0000, 0.8550, 0.9205], [0.5000, 0.0032, 0.1453], [0.5000, 0.1164, 0.8696], [0.5000, 0.2534, 0.6545], [0.5000, 0.3703, 0.3993], [0.5000, 0.6297, 0.8993], [0.5000, 0.7466, 0.1545], [0.5000, 0.8836, 0.3696], [0.5000, 0.9968, 0.6453]]
}